Density functional theory data (PBE-GGA) for crystalline MnOs2Cl at its relaxed geometry.

Cell: 2.8317 4.4486 8.9573 Å, 90.00 90.00 90.00°
Last column: nearest neighbours and their distance in Å.
Space group Imm2 (No. 44)
Symmetry-distinct sites (fractional):
Mn (0.0000, 0.0000, 0.0000) (multiplicity 2)  2 Cl 2.50, 4 Os 2.65
Os (0.0000, 0.0000, 0.5312) (multiplicity 2)  2 Cl 2.56, 4 Mn 2.65, 4 Os 2.66-2.83
Os (0.0000, 0.5000, 0.7801) (multiplicity 2)  4 Cl 2.64, 4 Os 2.66-2.83, 2 Mn 2.88
Cl (0.0000, 0.5000, 0.2698) (multiplicity 2)  2 Mn 2.50, 6 Os 2.56-2.64

Uncorrected formation energy ... 0.932 eV per atom
Fermi-level density of states ... 7.62 states/eV/cell
Energy above the lowest structure with this stoichiometry ... 2.459 eV/f.u.

=====

Density functional theory data (PBE-GGA) for crystalline MgZnRu at its relaxed geometry.

Cell: 4.4090 4.4090 2.7030 Å, 90.00 90.00 120.00°
Last column: nearest neighbours and their distance in Å.
Space group P3m1 (No. 156)
Symmetry-distinct sites (fractional):
Mg (0.0000, 0.0000, 0.0000) (multiplicity 1)  3 Zn 2.68, 2 Mg 2.70, 3 Ru 2.77
Zn (0.3333, 0.6667, 0.6890) (multiplicity 1)  3 Ru 2.66, 3 Mg 2.68, 2 Zn 2.70
Ru (0.6667, 0.3333, 0.4055) (multiplicity 1)  3 Zn 2.66, 2 Ru 2.70, 3 Mg 2.77

ΔE_f ... 0.009 eV/atom
Fermi-level density of states ... 1.29 states/eV/cell

=====

Density functional theory data (PBE-GGA) for crystalline CaB12 at its relaxed geometry.

Cell: 7.5177 7.5177 7.5177 Å, 90.00 90.00 90.00°
Last column: nearest neighbours and their distance in Å.
Space group Fm-3m (No. 225)
Symmetry-distinct sites (fractional):
Ca (0.0000, 0.0000, 0.0000) (multiplicity 4)  24 B 2.80
B (0.0000, 0.1682, 0.3318) (multiplicity 48)  5 B 1.74-1.79

ΔE_f ... -0.123 eV/atom
Fermi-level density of states ... 10.42 states/eV/cell
Energy above the lowest structure with this stoichiometry ... 0.000 eV/f.u.

=====

Density functional theory data (PBE-GGA) for crystalline Li4U3ZnN8 at its relaxed geometry.

Cell: 10.8952 6.7300 6.3257 Å, 90.00 119.91 90.00°
Last column: nearest neighbours and their distance in Å.
Space group C2/m (No. 12)
Symmetry-distinct sites (fractional):
Li (0.0000, 0.0000, 0.0000) (multiplicity 2)  6 N 2.32-2.33
Li (0.0000, 0.5000, 0.0000) (multiplicity 2)  6 N 2.47-2.51
Li (0.2500, 0.2500, 0.5000) (multiplicity 4)  6 N 2.40-2.57
U (0.0000, 0.0000, 0.5000) (multiplicity 2)  6 N 2.17-2.24
U (0.2500, 0.2500, 0.0000) (multiplicity 4)  6 N 2.15-2.23
Zn (0.0000, 0.5000, 0.5000) (multiplicity 2)  6 N 2.32-2.45
N (0.0220, 0.2349, 0.7510) (multiplicity 8)  2 U 2.17-2.18, 1 Zn 2.32, 1 Li 2.33
N (0.2347, 0.0000, 0.7574) (multiplicity 4)  3 U 2.23-2.24, 2 Li 2.40
N (0.2453, 0.0000, 0.2085) (multiplicity 4)  2 U 2.15, 1 Li 2.32

Uncorrected formation energy ... -0.874 eV per atom